## Li2YP (PBE)

Data for Li2YP after structural relaxation.

Cell: 3.938 6.223 3.937 Å, 71.72 89.51 108.28°
Each line ends with the local moment (μB).
Sites, in units of the cell vectors:
Li 0.000 0.000 0.000  0.03
Li 0.500 0.000 0.500  0.03
P 0.000 0.500 0.500  0.01
Y 0.500 0.500 0.000  0.12

Results
E, eV/atom: -4.354
Formation energy from the elements, eV per atom: -0.43